Entry from Alexandria via LeMat-Bulk: an optimized crystal structure of ZnInCl3 (PBE-GGA).

For the total DFT energy (no corrections), the calculation gives -0.10560 hartree per atom. The calculation puts the energy above the most stable polymorph in this dataset at 62 meV/atom.

It has space group Cmcm (No. 63), with a = 7.1982 Å, b = 15.4840 Å, c = 6.9835 Å, α = 90.00°, β = 90.00° and γ = 90.00°. Symmetry generates all atoms from Zn at (0.0000, 0.0976, 0.2500), In at (0.0000, 0.3313, 0.2500), Cl at (0.0000, 0.0000, 0.0000) and Cl at (0.2483, 0.3155, 0.7500).

=====

Entry from Alexandria via LeMat-Bulk: an optimized crystal structure of SrPd5 (PBE-GGA).

Its formation enthalpy at 0 K is -363 meV per atom. For the total DFT energy (no corrections), the calculation gives -0.18267 hartree per atom.

It has space group P6/mmm (No. 191), with a = 5.4677 Å, b = 5.4677 Å, c = 4.4415 Å, α = 90.00°, β = 90.00° and γ = 120.00°. Symmetry generates all atoms from Sr at (0.0000, 0.0000, 0.0000), Pd at (0.0000, 0.5000, 0.5000) and Pd at (0.3333, 0.6667, 0.0000).